This record from Alexandria via LeMat-Bulk describes a relaxed RbNaWF6 crystal. The functional is PBE+U.

a b c (Å): 5.9579 5.9579 11.4967
angles (deg): 90.00 90.00 120.00
Space group P-31c (No. 163)
One atom of each set of equivalent atoms:
Rb 0.0000 0.0000 0.0000 (multiplicity 2)
Na 0.3333 0.6667 0.2500 (multiplicity 2)
W 0.3333 0.6667 0.7500 (multiplicity 2)
F 0.0406 0.3924 0.6535 (multiplicity 12)

* total energy: -5.0420 eV per atom
* crystal system: trigonal